Entry 1:
# NaCa2Mg (PBE, optimized geometry)
data_NaCa2Mg
_symmetry_space_group_name_H-M 'R -3 m'
_symmetry_Int_Tables_number 166
_symmetry_space_group_name_Hall '-R 3 2"'
_cell_length_a 3.7249
_cell_length_b 3.7249
_cell_length_c 37.7681
_cell_angle_alpha 90.00
_cell_angle_beta 90.00
_cell_angle_gamma 120.00
loop_
_atom_site_label
_atom_site_type_symbol
_atom_site_fract_x
_atom_site_fract_y
_atom_site_fract_z
Na1 Na 0.0000 0.0000 0.0000
Ca1 Ca 0.0000 0.0000 0.0947
Mg1 Mg 0.0000 0.0000 0.5000
# V	454	Å³ per cell
# energy of formation from the pure elements	12	kJ/mol of atoms
# energy	-6.4	eV per formula unit

***

Entry 2:
# NaCa4Mg (PBE, optimized geometry)
data_NaCa4Mg
_symmetry_space_group_name_H-M 'P 4/m m m'
_symmetry_Int_Tables_number 123
_symmetry_space_group_name_Hall '-P 4 2'
_cell_length_a 3.965
_cell_length_b 3.965
_cell_length_c 14.276
_cell_angle_alpha 90.00
_cell_angle_beta 90.00
_cell_angle_gamma 90.00
loop_
_atom_site_label
_atom_site_type_symbol
_atom_site_fract_x
_atom_site_fract_y
_atom_site_fract_z
Na1 Na 0.000 0.000 0.000
Ca1 Ca 0.000 0.000 0.364
Ca2 Ca 0.500 0.500 0.175
Mg1 Mg 0.500 0.500 0.500
# V	224	Å³ per cell
# energy of formation from the pure elements	0	kJ/mol of atoms
# energy	-10.9	eV per formula unit
# E above lowest polymorph	0	meV/atom

***

Entry 3:
# NaCaMg2 (PBE, optimized geometry)
data_NaCaMg2
_symmetry_space_group_name_H-M 'P 4/m m m'
_symmetry_Int_Tables_number 123
_symmetry_space_group_name_Hall '-P 4 2'
_cell_length_a 3.849
_cell_length_b 3.849
_cell_length_c 8.073
_cell_angle_alpha 90.00
_cell_angle_beta 90.00
_cell_angle_gamma 90.00
loop_
_atom_site_label
_atom_site_type_symbol
_atom_site_fract_x
_atom_site_fract_y
_atom_site_fract_z
Na1 Na 0.000 0.000 0.000
Ca1 Ca 0.000 0.000 0.500
Mg1 Mg 0.500 0.500 0.237
# V	120	Å³ per cell
# energy of formation from the pure elements	4	kJ/mol of atoms
# energy	-6.3	eV per formula unit
# E above lowest polymorph	0	meV/atom